No. 1
Crystalline PmPrAs at its relaxed geometry, computed with GGA-PBE.

a = 6.1071 Å, b = 6.1071 Å, c = 6.1071 Å
α = 142.67°, β = 142.67°, γ = 53.82°
Fractional positions:
Pm: 0.0000 0.0000 0.0000
Pr: 0.2859 0.2859 0.0000
As: 0.6329 0.6329 0.0000

Results
The space group is I4mm (107). As for the energy relative to the lowest polymorph listed for this composition: 149 meV per atom. The total magnetization is 0.59 μB/f.u. The value obtained for the density of states at the Fermi level is 3.4 states/eV/cell. As for the calculated total energy: -5.4301 eV/atom.

=====

No. 2
Crystalline Zn2SiMo at its relaxed geometry, computed with GGA-PBE.

a = 4.8688 Å, b = 4.8688 Å, c = 4.8688 Å
α = 135.09°, β = 135.09°, γ = 65.39°
Fractional positions:
Zn: 0.0000 0.0000 0.0000
Zn: 0.7500 0.2500 0.5000
Si: 0.2500 0.7500 0.5000
Mo: 0.5000 0.5000 0.0000

Results
The space group is I-4m2 (119). The total magnetization is 0.00 μB/f.u. The formation energy (no corrections) comes out at -0.08 eV/atom. The value obtained for the density of states at the Fermi level is 0.5 states/eV/cell. As for the calculated total energy: -4.7814 eV/atom.

=====

No. 3
Crystalline Be2CuSi at its relaxed geometry, computed with GGA-PBE.

a = 2.4614 Å, b = 2.4614 Å, c = 7.1204 Å
α = 90.00°, β = 90.00°, γ = 90.00°
Fractional positions:
Be: 0.0000 0.0000 0.2230
Be: 0.0000 0.0000 0.7770
Cu: 0.5000 0.5000 0.0000
Si: 0.5000 0.5000 0.5000

Results
The space group is P4/mmm (123). The total magnetization is 0.00 μB/f.u. The formation energy (no corrections) comes out at 0.20 eV/atom. The value obtained for the density of states at the Fermi level is 1.2 states/eV/cell. As for the calculated total energy: -4.0389 eV/atom.

=====

No. 4
Crystalline TlGe2As at its relaxed geometry, computed with GGA-PBE.

a = 7.3743 Å, b = 7.3743 Å, c = 7.3743 Å
α = 130.58°, β = 130.58°, γ = 72.48°
Fractional positions:
Tl: 0.0000 0.0000 0.0000
Tl: 0.7500 0.2500 0.5000
Ge: 0.1515 0.6250 0.0265
Ge: 0.3750 0.4015 0.5265
Ge: 0.5985 0.1250 0.9735
Ge: 0.8750 0.8485 0.4735
As: 0.2500 0.7500 0.5000
As: 0.5000 0.5000 0.0000

Results
The space group is I-42d (122). As for the energy relative to the lowest polymorph listed for this composition: 0 meV per atom. The total magnetization is 0.00 μB/f.u. The value obtained for the density of states at the Fermi level is 0.4 states/eV/cell. As for the calculated total energy: -3.8803 eV/atom.

=====

No. 5
Crystalline BiOsPd2 at its relaxed geometry, computed with GGA-PBE.

a = 10.0543 Å, b = 10.0543 Å, c = 10.0543 Å
α = 157.35°, β = 157.35°, γ = 32.25°
Fractional positions:
Bi: 0.0000 0.0000 0.0000
Bi: 0.7500 0.2500 0.5000
Os: 0.2500 0.7500 0.5000
Os: 0.5000 0.5000 0.0000
Pd: 0.1427 0.6250 0.0177
Pd: 0.3750 0.3927 0.5177
Pd: 0.6073 0.1250 0.9823
Pd: 0.8750 0.8573 0.4823

Results
The space group is I-42d (122). The total magnetization is 0.00 μB/f.u. The value obtained for the density of states at the Fermi level is 7.4 states/eV/cell. As for the calculated total energy: -5.7583 eV/atom.

=====

No. 6
Crystalline ScBe2Se at its relaxed geometry, computed with GGA-PBE.

a = 3.3891 Å, b = 3.6899 Å, c = 4.9829 Å
α = 90.00°, β = 90.00°, γ = 90.00°
Fractional positions:
Sc: 0.0000 0.0000 0.0000
Be: 0.5000 0.0000 0.4495
Be: 0.5000 0.5000 0.2297
Se: 0.5000 0.5000 0.7550

Results
The space group is Pmm2 (25). The total magnetization is 0.00 μB/f.u. The formation energy (no corrections) comes out at -0.17 eV/atom. The value obtained for the density of states at the Fermi level is 2.1 states/eV/cell. As for the calculated total energy: -4.4850 eV/atom.

=====

No. 7
Crystalline ZrRe2Ni2 at its relaxed geometry, computed with GGA-PBE.

a = 6.0285 Å, b = 6.0285 Å, c = 6.0285 Å
α = 142.52°, β = 142.52°, γ = 54.05°
Fractional positions:
Zr: 0.0000 0.0000 0.0000
Re: 0.3906 0.3906 0.0000
Re: 0.6094 0.6094 0.0000
Ni: 0.2500 0.7500 0.5000
Ni: 0.7500 0.2500 0.5000

Results
The space group is I4/mmm (139). As for the energy relative to the lowest polymorph listed for this composition: 88 meV per atom. The total magnetization is 0.00 μB/f.u. The value obtained for the density of states at the Fermi level is 5.4 states/eV/cell. As for the calculated total energy: -8.8528 eV/atom.

=====

No. 8
Crystalline SnPb4S5 at its relaxed geometry, computed with GGA-PBE.

a = 15.2051 Å, b = 15.2051 Å, c = 15.2051 Å
α = 164.02°, β = 164.02°, γ = 22.67°
Fractional positions:
Sn: 0.0000 0.0000 0.0000
Pb: 0.1997 0.1997 0.0000
Pb: 0.4009 0.4009 0.0000
Pb: 0.5991 0.5991 0.0000
Pb: 0.8003 0.8003 0.0000
S: 0.0976 0.0976 0.0000
S: 0.2995 0.2995 0.0000
S: 0.5000 0.5000 0.0000
S: 0.7005 0.7005 0.0000
S: 0.9024 0.9024 0.0000

Results
The space group is I4/mmm (139). As for the energy relative to the lowest polymorph listed for this composition: 5 meV per atom. The total magnetization is 0.00 μB/f.u. The formation energy (no corrections) comes out at -0.50 eV/atom. The value obtained for the density of states at the Fermi level is 0.5 states/eV/cell. As for the calculated total energy: -4.4516 eV/atom.

=====

No. 9
Crystalline YF at its relaxed geometry, computed with GGA-PBE.

a = 9.1539 Å, b = 9.1539 Å, c = 3.7543 Å
α = 90.00°, β = 90.00°, γ = 120.00°
Fractional positions:
Y: 0.1378 0.7246 0.2500
Y: 0.2754 0.4132 0.2500
Y: 0.4132 0.1378 0.7500
Y: 0.5868 0.8622 0.2500
Y: 0.7246 0.5868 0.7500
Y: 0.8622 0.2754 0.7500
F: 0.0357 0.4284 0.2500
F: 0.3927 0.9643 0.2500
F: 0.4284 0.3927 0.7500
F: 0.5716 0.6073 0.2500
F: 0.6073 0.0357 0.7500
F: 0.9643 0.5716 0.7500

Results
The space group is P6_3/m (176). As for the energy relative to the lowest polymorph listed for this composition: 260 meV per atom. The total magnetization is 0.65 μB/f.u. The formation energy (no corrections) comes out at -2.33 eV/atom. The value obtained for the density of states at the Fermi level is 5.8 states/eV/cell. As for the calculated total energy: -6.4980 eV/atom.

=====

No. 10
Crystalline TeBrF at its relaxed geometry, computed with GGA-PBE.

a = 4.4591 Å, b = 4.5337 Å, c = 8.5903 Å
α = 85.11°, β = 88.68°, γ = 89.07°
Fractional positions:
Te: 0.0000 0.0000 0.0000
Te: 0.4913 0.0345 0.7457
Br: 0.3384 0.8833 0.2409
Br: 0.8099 0.4358 0.5650
F: 0.3745 0.4247 0.8325
F: 0.8959 0.5803 0.0193

Results
The space group is P1 (1). As for the energy relative to the lowest polymorph listed for this composition: 81 meV per atom. The total magnetization is 0.00 μB/f.u. The formation energy (no corrections) comes out at -0.86 eV/atom. As for the calculated total energy: -3.0927 eV/atom.

=====

No. 11
Crystalline RbPb3C at its relaxed geometry, computed with GGA-PBE.

a = 5.3352 Å, b = 5.3352 Å, c = 5.3352 Å
α = 90.00°, β = 90.00°, γ = 90.00°
Fractional positions:
Rb: 0.0000 0.0000 0.0000
Pb: 0.0000 0.5000 0.5000
Pb: 0.5000 0.0000 0.5000
Pb: 0.5000 0.5000 0.0000
C: 0.5000 0.5000 0.5000

Results
The space group is Pm-3m (221). As for the energy relative to the lowest polymorph listed for this composition: 0 meV per atom. The total magnetization is 0.00 μB/f.u. The value obtained for the density of states at the Fermi level is 4.2 states/eV/cell. As for the calculated total energy: -3.3923 eV/atom.

=====

No. 12
Crystalline Pr6BiSe2S3 at its relaxed geometry, computed with GGA-PBE.

a = 9.5434 Å, b = 9.5434 Å, c = 8.5862 Å
α = 103.89°, β = 103.89°, γ = 25.55°
Fractional positions:
Pr: 0.0035 0.0035 0.2263
Pr: 0.3247 0.3247 0.4300
Pr: 0.3381 0.3381 0.9062
Pr: 0.6619 0.6619 0.0938
Pr: 0.6753 0.6753 0.5700
Pr: 0.9965 0.9965 0.7737
Bi: 0.5000 0.5000 0.5000
Se: 0.1687 0.1687 0.8340
Se: 0.8313 0.8313 0.1660
S: 0.1645 0.1645 0.3284
S: 0.5000 0.5000 0.0000
S: 0.8355 0.8355 0.6716

Results
The space group is C2/m (12). The total magnetization is 0.00 μB/f.u. The formation energy (no corrections) comes out at -1.76 eV/atom. The value obtained for the density of states at the Fermi level is 4.0 states/eV/cell. As for the calculated total energy: -6.0860 eV/atom.

=====

No. 13
Crystalline TcSnN3 at its relaxed geometry, computed with GGA-PBE.

a = 4.0779 Å, b = 4.0779 Å, c = 4.0779 Å
α = 90.00°, β = 90.00°, γ = 90.00°
Fractional positions:
Tc: 0.0000 0.0000 0.0000
Sn: 0.5000 0.5000 0.5000
N: 0.0000 0.5000 0.5000
N: 0.5000 0.0000 0.5000
N: 0.5000 0.5000 0.0000

Results
The space group is Pm-3m (221). The total magnetization is 2.00 μB/f.u. The formation energy (no corrections) comes out at 1.95 eV/atom. The value obtained for the density of states at the Fermi level is 1.2 states/eV/cell. As for the calculated total energy: -5.9179 eV/atom.